Density functional theory data (GGA-PBE) for ZrTl2Te after structural relaxation.

Computed properties:
Polymorph energy (0 for the lowest one): 0.95 eV per formula unit
Density: 9.79 g cm⁻³
Total magnetic moment: 0.00 μB per cell
N(E_F): 3.82 states/eV/f.u.

a b c (Å): 3.636 5.127 5.713
angles (deg): 90.00 90.00 90.00
Positions (direct):
Zr 0.000 0.000 0.000
Tl 0.000 0.500 0.500
Tl 0.500 0.000 0.500
Te 0.500 0.500 0.000